(1)
Below is crystalline Zr2TiMoRh at its relaxed geometry, with properties calculated at the PBE level.

Geometry as POSCAR:
```
Zr2TiMoRh
1.0
4.9624 0.0000 0.0000
0.0000 4.9624 0.0000
0.0000 0.0000 4.6917
Zr Ti Mo Rh
2 1 1 1
direct
0.0000 0.5000 0.0000
0.5000 0.0000 0.0000
0.0000 0.0000 0.5000
0.5000 0.5000 0.0000
0.5000 0.5000 0.5000
```

=====

(2)
Below is crystalline Ta2GaGePt at its relaxed geometry, with properties calculated at the PBE level.

Geometry as POSCAR:
```
Ta2GaGePt
1.0
5.0228 0.0000 0.0000
0.0000 5.0228 0.0000
0.0000 0.0000 4.5257
Ta Ga Ge Pt
2 1 1 1
direct
0.0000 0.5000 0.0000
0.5000 0.0000 0.0000
0.0000 0.0000 0.5000
0.5000 0.5000 0.5000
0.5000 0.5000 0.0000
```

=====

| no. | total DFT energy (no corrections) (eV per atom) |
| --- | --- |
| 1 | -7.798 |
| 2 | -6.460 |